[1]
Here is a geometry-optimized CoRu2W structure from Alexandria. Energies are from PBE-GGA.

Cell and atoms, written as CIF:
```
data_CoRu2W
_cell_length_a 2.668
_cell_length_b 4.346
_cell_length_c 4.846
_cell_angle_alpha 90.00
_cell_angle_beta 95.70
_cell_angle_gamma 90.00
_space_group_name_H-M_alt 'P 1 2/m 1'
_space_group_IT_number 10
loop_
_space_group_symop_operation_xyz
'x,y,z'
'-x,-y,-z'
'-x,y,-z'
'x,-y,z'
loop_
_atom_site_label
_atom_site_type_symbol
_atom_site_fract_x
_atom_site_fract_y
_atom_site_fract_z
Co1 Co 0.000 0.000 0.000
Ru1 Ru 0.212 0.500 0.769
W1 W 0.500 0.000 0.500
```

Values from the calculation:
Volume, Å³ per atom: 14.0
Calculated formation energy, eV/atom: 0.256
Spin magnetization, μB per atom: 0.448
Energy above the most stable polymorph in this dataset, kJ/mol of atoms: 27.2

---

[2]
Here is a geometry-optimized Hf2ZrS6 structure from Alexandria. Energies are from PBE-GGA.

Cell and atoms, written as CIF:
```
data_Hf2ZrS6
_cell_length_a 12.763
_cell_length_b 4.753
_cell_length_c 8.306
_cell_angle_alpha 90.00
_cell_angle_beta 122.85
_cell_angle_gamma 90.00
_space_group_name_H-M_alt 'C 1 2/m 1'
_space_group_IT_number 12
loop_
_space_group_symop_operation_xyz
'x,y,z'
'-x,-y,-z'
'-x,y,-z'
'x,-y,z'
'x+1/2,y+1/2,z'
'-x+1/2,-y+1/2,-z'
'-x+1/2,y+1/2,-z'
'x+1/2,-y+1/2,z'
loop_
_atom_site_label
_atom_site_type_symbol
_atom_site_fract_x
_atom_site_fract_y
_atom_site_fract_z
Hf1 Hf 0.177 0.000 0.102
Zr1 Zr 0.000 0.000 0.500
S1 S 0.034 0.000 0.218
S2 S 0.131 0.500 0.575
S3 S 0.249 0.000 0.857
```

Values from the calculation:
Formation energy without anion corrections, meV/atom: -1320
Volume, Å³ per atom: 23.5
Spin magnetization, μB per atom: 0.000
Energy above the most stable polymorph in this dataset, kJ/mol of atoms: 23.2

---

[3]
Here is a geometry-optimized CaHf2Zr2 structure from Alexandria. Energies are from PBE-GGA.

Cell and atoms, written as CIF:
```
data_CaHf2Zr2
_cell_length_a 8.682
_cell_length_b 8.682
_cell_length_c 3.391
_cell_angle_alpha 90.00
_cell_angle_beta 90.00
_cell_angle_gamma 90.00
_space_group_name_H-M_alt 'P 4/m b m'
_space_group_IT_number 127
_space_group_name_Hall '-P 4 2ab'
loop_
_atom_site_label
_atom_site_type_symbol
_atom_site_fract_x
_atom_site_fract_y
_atom_site_fract_z
Ca1 Ca 0.000 0.000 0.000
Hf1 Hf 0.163 0.337 0.500
Zr1 Zr 0.126 0.626 0.000
```

Values from the calculation:
Volume, Å³ per atom: 25.6
Calculated formation energy, eV/atom: 0.229
Spin magnetization, μB per atom: 0.000
Energy above the most stable polymorph in this dataset, kJ/mol of atoms: 2.5